## Cs2YThSe4 (GGA-PBE)

Data for crystalline Cs2YThSe4 at its relaxed geometry.

Output
Formation energy (no corrections): -1.62 eV/atom
Total magnetic moment: 0.00 Bohr magnetons per cell

Cell: 7.4207 4.2935 8.8018 Å, 90.00 106.30 90.00°
Last column: nearest neighbours and their distance in Å.
Space group P2/m (No. 10)
Symmetry-distinct sites (fractional):
Cs  0.0000  0.0000  0.0000 [1 per cell]  6 Se 3.58-3.60
Cs  0.5000  0.5000  0.0000 [1 per cell]  6 Se 3.61-3.62
Y  0.0000  0.5000  0.5000 [1 per cell]  6 Se 2.94
Th  0.5000  0.0000  0.5000 [1 per cell]  6 Se 2.95-2.97
Se  0.2271  0.0000  0.6883 [2 per cell]  2 Y 2.94, 1 Th 2.95
Se  0.2654  0.5000  0.3077 [2 per cell]  1 Y 2.94, 2 Th 2.97

***

## CsTiSe2 (GGA-PBE)

Data for crystalline CsTiSe2 at its relaxed geometry.

Output
Formation energy (no corrections): -1.23 eV/atom
Total magnetic moment: 2.00 Bohr magnetons per cell

Cell: 8.0136 6.1386 8.0148 Å, 90.00 90.14 90.00°
Last column: nearest neighbours and their distance in Å.
Space group P2/m (No. 10)
Symmetry-distinct sites (fractional):
Cs  0.0000  0.0000  0.0000 [1 per cell]  6 Se 3.78-3.84
Cs  0.5000  0.5000  0.5000 [1 per cell]  6 Se 3.78-3.84
Ti  0.0000  0.2499  0.5000 [2 per cell]  4 Se 2.47
Se  0.0866  0.5000  0.7261 [2 per cell]  2 Ti 2.47
Se  0.2259  0.0000  0.4140 [2 per cell]  2 Ti 2.47

***

## CsTiSe2 (GGA-PBE)

Data for crystalline CsTiSe2 at its relaxed geometry.

Output
Formation energy (no corrections): -1.12 eV/atom
Total magnetic moment: 4.00 Bohr magnetons per cell

Cell: 13.3872 4.7529 7.8754 Å, 90.00 102.22 90.00°
Last column: nearest neighbours and their distance in Å.
Space group C2/m (No. 12)
Symmetry-distinct sites (fractional):
Cs  0.1446  0.0000  0.0855 [4 per cell]  8 Se 3.61-4.04, 1 Cs 3.82, 1 Ti 3.90
Ti  0.1227  0.5000  0.5205 [4 per cell]  5 Se 2.45-2.74
Se  0.0119  0.5000  0.7449 [4 per cell]  2 Ti 2.45-2.54
Se  0.2006  0.0000  0.6017 [4 per cell]  3 Ti 2.62-2.74

***

## CsTiSe2 (GGA-PBE)

Data for crystalline CsTiSe2 at its relaxed geometry.

Output
Formation energy (no corrections): -1.18 eV/atom
Total magnetic moment: 0.00 Bohr magnetons per cell

Cell: 18.2272 4.2240 7.9700 Å, 90.00 115.93 90.00°
Last column: nearest neighbours and their distance in Å.
Space group C2/m (No. 12)
Symmetry-distinct sites (fractional):
Cs  0.1434  0.0000  0.1435 [4 per cell]  8 Se 3.71-4.01
Ti  0.0829  0.5000  0.5826 [4 per cell]  4 Se 2.45-2.52, 1 Ti 2.72
Se  0.0000  0.5000  0.2434 [4 per cell]  2 Ti 2.45-2.46
Se  0.1663  0.0000  0.6660 [4 per cell]  2 Ti 2.52

***

## Cs3Ti2Se4 (GGA-PBE)

Data for crystalline Cs3Ti2Se4 at its relaxed geometry.

Output
Formation energy (no corrections): -1.12 eV/atom
Total magnetic moment: 12.09 Bohr magnetons per cell

Cell: 15.4990 11.4386 7.6281 Å, 90.00 96.59 90.00°
Last column: nearest neighbours and their distance in Å.
Space group C2/c (No. 15)
Symmetry-distinct sites (fractional):
Cs  0.0000  0.0934  0.2500 [4 per cell]  6 Se 3.52-3.92
Cs  0.1220  0.3611  0.5477 [8 per cell]  5 Se 3.56-3.93, 1 Ti 3.93
Ti  0.2154  0.1248  0.9432 [8 per cell]  4 Se 2.51-2.53
Se  0.1296  0.3027  0.0181 [8 per cell]  2 Ti 2.53
Se  0.1875  0.0469  0.6348 [8 per cell]  2 Ti 2.51

***

## Cs2TiSe8 (GGA-PBE)

Data for crystalline Cs2TiSe8 at its relaxed geometry.

Output
Formation energy (no corrections): -0.62 eV/atom
Total magnetic moment: 0.85 Bohr magnetons per cell

Cell: 6.6690 8.0980 8.9480 Å, 69.23 68.43 80.75°
Last column: nearest neighbours and their distance in Å.
Space group P-1 (No. 2)
Symmetry-distinct sites (fractional):
Cs  0.2126  0.2293  0.1984 [2 per cell]  8 Se 3.69-4.02
Ti  0.5000  0.5000  0.5000 [1 per cell]  6 Se 2.44-2.69
Se  0.1518  0.5783  0.4013 [2 per cell]  1 Se 2.33
Se  0.3382  0.5690  0.7647 [2 per cell]  1 Ti 2.44
Se  0.3510  0.9778  0.6270 [2 per cell]  2 Se 2.36-2.54
Se  0.3674  0.2216  0.7381 [2 per cell]  1 Ti 2.50, 1 Se 2.54

***

Copy entry 1 word for word.
## Cs2YThSe4 (GGA-PBE)

Data for crystalline Cs2YThSe4 at its relaxed geometry.

Output
Formation energy (no corrections): -1.62 eV/atom
Total magnetic moment: 0.00 Bohr magnetons per cell

Cell: 7.4207 4.2935 8.8018 Å, 90.00 106.30 90.00°
Last column: nearest neighbours and their distance in Å.
Space group P2/m (No. 10)
Symmetry-distinct sites (fractional):
Cs  0.0000  0.0000  0.0000 [1 per cell]  6 Se 3.58-3.60
Cs  0.5000  0.5000  0.0000 [1 per cell]  6 Se 3.61-3.62
Y  0.0000  0.5000  0.5000 [1 per cell]  6 Se 2.94
Th  0.5000  0.0000  0.5000 [1 per cell]  6 Se 2.95-2.97
Se  0.2271  0.0000  0.6883 [2 per cell]  2 Y 2.94, 1 Th 2.95
Se  0.2654  0.5000  0.3077 [2 per cell]  1 Y 2.94, 2 Th 2.97

***

Repeat the first record exactly.
## Cs2YThSe4 (GGA-PBE)

Data for crystalline Cs2YThSe4 at its relaxed geometry.

Output
Formation energy (no corrections): -1.62 eV/atom
Total magnetic moment: 0.00 Bohr magnetons per cell

Cell: 7.4207 4.2935 8.8018 Å, 90.00 106.30 90.00°
Last column: nearest neighbours and their distance in Å.
Space group P2/m (No. 10)
Symmetry-distinct sites (fractional):
Cs  0.0000  0.0000  0.0000 [1 per cell]  6 Se 3.58-3.60
Cs  0.5000  0.5000  0.0000 [1 per cell]  6 Se 3.61-3.62
Y  0.0000  0.5000  0.5000 [1 per cell]  6 Se 2.94
Th  0.5000  0.0000  0.5000 [1 per cell]  6 Se 2.95-2.97
Se  0.2271  0.0000  0.6883 [2 per cell]  2 Y 2.94, 1 Th 2.95
Se  0.2654  0.5000  0.3077 [2 per cell]  1 Y 2.94, 2 Th 2.97

***

- Number 1 is which compound?
  Cs2YThSe4